Sm2H2Pb after structural relaxation. Source: Alexandria via LeMat-Bulk, functional PBE-GGA.

Values from the calculation:
Spin magnetization   0.0000 μB per atom
DOS(E_F)   1.4 states/eV/f.u.
Excess energy over the best structure of this formula in the dataset   37.2 meV/atom

Unit cell a=5.9866 b=5.9866 c=6.7041 alpha=103.68 beta=103.68 gamma=117.96
Fractional coordinates of all 10 atoms:
1 Sm 0.0506 0.9494 0.7500
2 Sm 0.3004 0.6996 0.2500
3 Sm 0.6996 0.3004 0.7500
4 Sm 0.9494 0.0506 0.2500
5 H 0.0038 0.7540 0.0087
6 H 0.2460 0.9962 0.4913
7 H 0.7540 0.0038 0.5087
8 H 0.9962 0.2460 0.9913
9 Pb 0.3752 0.6248 0.7500
10 Pb 0.6248 0.3752 0.2500